CaAc2AsO6: optimized geometry, PBE-GGA.

Output
- E_form (uncorrected): -2.51 eV per atom
- Symmetry: P4mm (99)
- Crystal system: tetragonal

Cell lengths 4.7262, 5.7981, 5.7981 Å; angles 90.00, 90.00, 90.00 degrees
Atoms (fractional coordinates):
Ca: 0.5910 0.5000 0.5000
Ac: 0.0276 0.5000 0.0000
Ac: 0.0276 0.0000 0.5000
As: 0.6140 0.0000 0.0000
O: 0.7096 0.2331 0.2331
O: 0.7096 0.2331 0.7669
O: 0.1232 0.5000 0.5000
O: 0.2251 0.0000 0.0000
O: 0.7096 0.7669 0.7669
O: 0.7096 0.7669 0.2331


LaYSc2: optimized geometry, PBE-GGA.

Output
- Distance to the lowest polymorph of the same formula: 14 meV/atom
- Symmetry: I4/mmm (139)
- Formation energy: 0.065 eV/atom
- Crystal system: tetragonal

Cell lengths 5.7479, 5.7479, 5.7479 Å; angles 127.03, 126.99, 78.23 degrees
Atoms (fractional coordinates):
Y: 0.2500 0.7500 0.5000
Sc: 0.0000 0.0000 0.0000
Sc: 0.5000 0.5000 0.0000
La: 0.7500 0.2500 0.5000


ZnFe2P: optimized geometry, PBE-GGA.

Output
- Symmetry: Fm-3m (225)
- Formation energy: -0.045 eV/atom
- Crystal system: cubic

Cell lengths 3.9500, 3.9500, 3.9500 Å; angles 60.00, 60.00, 60.00 degrees
Atoms (fractional coordinates):
P: 0.0000 0.0000 0.0000
Zn: 0.5000 0.5000 0.5000
Fe: 0.2500 0.2500 0.2500
Fe: 0.7500 0.7500 0.7500


K14NaPb: optimized geometry, PBE-GGA.

Output
- Symmetry: P4/mmm (123)
- Formation energy: 0.005 eV/atom
- Crystal system: tetragonal

Cell lengths 8.9318, 8.9318, 12.4813 Å; angles 90.00, 90.00, 90.00 degrees
Atoms (fractional coordinates):
K: 0.8750 0.8750 0.0000
K: 0.3750 0.3750 0.0000
K: 0.8750 0.3750 0.5000
K: 0.8750 0.3750 0.0000
K: 0.3750 0.8750 0.5000
K: 0.3750 0.8750 0.0000
K: 0.6120 0.1380 0.2841
K: 0.6120 0.1380 0.7159
K: 0.1380 0.6120 0.2841
K: 0.1380 0.6120 0.7159
K: 0.6121 0.6121 0.2841
K: 0.6121 0.6121 0.7159
K: 0.1379 0.1379 0.2841
K: 0.1379 0.1379 0.7159
Na: 0.8750 0.8750 0.5000
Pb: 0.3750 0.3750 0.5000


SrTcAg: optimized geometry, PBE-GGA.

Output
- Distance to the lowest polymorph of the same formula: 503 meV/atom
- Symmetry: Imm2 (44)
- Formation energy: 0.735 eV/atom
- Crystal system: orthorhombic

Cell lengths 6.0212, 6.0212, 6.0212 Å; angles 151.75, 138.71, 50.78 degrees
Atoms (fractional coordinates):
Ag: 0.0374 0.0374 0.0000
Sr: 0.3326 0.3326 0.0000
Tc: 0.6300 0.6300 0.0000


LaDyCu: optimized geometry, PBE-GGA.

Output
- Distance to the lowest polymorph of the same formula: 36 meV/atom
- Symmetry: P2_1/m (11)
- Formation energy: -0.064 eV/atom
- Crystal system: monoclinic

Cell lengths 4.5363, 3.6030, 9.7371 Å; angles 90.12, 90.00, 90.00 degrees
Atoms (fractional coordinates):
La: 0.7500 0.4983 0.6045
La: 0.2500 0.5017 0.3955
Dy: 0.2500 0.9992 0.8462
Dy: 0.7500 0.0008 0.1538
Cu: 0.2500 0.5006 0.0764
Cu: 0.7500 0.4994 0.9236


M_tot
In order: 0.000; 0.000; 0.000; 0.001; 0.458; 0.000
Unit: μB per cell